{
  "formula": "PmBeMo",
  "functional": "PBE",
  "state": "relaxed",
  "m_tot_mub_per_fu": 0.8,
  "sg": "F-43m, No. 216",
  "energy_ev_per_fu": -17.12,
  "lattice": [[0.0000, 3.0876, 3.0876], [3.0876, 0.0000, 3.0876], [3.0876, 3.0876, 0.0000]],
  "species": ["Pm", "Be", "Mo"],
  "frac_coords": [[0.0000, 0.0000, 0.0000], [0.7500, 0.7500, 0.7500], [0.5000, 0.5000, 0.5000]]
}